1.
Entry from Alexandria: CaTl2Pb at its PBEsol-relaxed geometry (SCAN).

Cell and atoms, written as CIF:
```
data_CaTl2Pb
_chemical_formula_sum 'Ca1 Tl2 Pb1'
_symmetry_space_group_name_H-M 'P m m 2'
_symmetry_Int_Tables_number 25
_symmetry_space_group_name_Hall 'P 2 -2'
_cell_length_a 3.744
_cell_length_b 4.360
_cell_length_c 6.898
_cell_angle_alpha 90.00
_cell_angle_beta 90.00
_cell_angle_gamma 90.00
loop_
_atom_site_label
_atom_site_fract_x
_atom_site_fract_y
_atom_site_fract_z
_atom_site_occupancy
Ca1 0.000 0.000 0.000 1
Tl1 0.000 0.000 0.505 1
Tl2 0.500 0.500 0.744 1
Pb1 0.500 0.500 0.261 1
```

Properties
For the density of states at the Fermi level, the calculation gives 2.14 states/eV/f.u. The total DFT energy (no corrections) comes out at -231.34 eV/f.u.


2.
Entry from Alexandria: Ce6B2C3Br3 at its PBEsol-relaxed geometry (SCAN).

Cell and atoms, written as CIF:
```
data_Ce6B2C3Br3
_chemical_formula_sum 'Ce6 B2 C3 Br3'
_symmetry_space_group_name_H-M 'P 1 2/m 1'
_symmetry_Int_Tables_number 10
_symmetry_space_group_name_Hall '-P 2y'
_cell_length_a 8.450
_cell_length_b 3.606
_cell_length_c 9.965
_cell_angle_alpha 90.00
_cell_angle_beta 114.20
_cell_angle_gamma 90.00
loop_
_atom_site_label
_atom_site_fract_x
_atom_site_fract_y
_atom_site_fract_z
_atom_site_occupancy
Ce1 0.061 0.000 0.340 1
Ce2 0.289 0.500 0.987 1
Ce3 0.370 0.000 0.719 1
B1 0.103 0.500 0.564 1
C1 0.166 0.500 0.732 1
C2 0.500 0.000 0.000 1
Br1 0.000 0.000 0.000 1
Br2 0.353 0.500 0.318 1
```

Properties
The formation energy without anion corrections comes out at -0.96 eV per atom. For the density of states at the Fermi level, the calculation gives 14.99 states/eV/f.u. The total DFT energy (no corrections) comes out at -384.35 eV/f.u.


3.
Entry from Alexandria: WS2NO at its PBEsol-relaxed geometry (SCAN).

Cell and atoms, written as CIF:
```
data_WS2NO
_chemical_formula_sum 'W1 S2 N1 O1'
_symmetry_space_group_name_H-M 'P 4/m m m'
_symmetry_Int_Tables_number 123
_symmetry_space_group_name_Hall '-P 4 2'
_cell_length_a 4.653
_cell_length_b 4.653
_cell_length_c 3.822
_cell_angle_alpha 90.00
_cell_angle_beta 90.00
_cell_angle_gamma 90.00
loop_
_atom_site_label
_atom_site_fract_x
_atom_site_fract_y
_atom_site_fract_z
_atom_site_occupancy
W1 0.000 0.000 0.000 1
S1 0.000 0.500 0.000 1
N1 0.000 0.000 0.500 1
O1 0.500 0.500 0.500 1
```

Properties
The formation energy without anion corrections comes out at 0.67 eV per atom. For the density of states at the Fermi level, the calculation gives 2.75 states/eV/f.u. The total DFT energy (no corrections) comes out at -101.13 eV/f.u.


4.
Entry from Alexandria: NiPbSCl2 at its PBEsol-relaxed geometry (SCAN).

Cell and atoms, written as CIF:
```
data_NiPbSCl2
_chemical_formula_sum 'Ni1 Pb1 S1 Cl2'
_symmetry_space_group_name_H-M 'P 4/m m m'
_symmetry_Int_Tables_number 123
_symmetry_space_group_name_Hall '-P 4 2'
_cell_length_a 5.300
_cell_length_b 5.300
_cell_length_c 5.150
_cell_angle_alpha 90.00
_cell_angle_beta 90.00
_cell_angle_gamma 90.00
loop_
_atom_site_label
_atom_site_fract_x
_atom_site_fract_y
_atom_site_fract_z
_atom_site_occupancy
Ni1 0.000 0.000 0.000 1
Pb1 0.500 0.500 0.500 1
S1 0.500 0.500 0.000 1
Cl1 0.000 0.500 0.500 1
```

Properties
The formation energy without anion corrections comes out at 0.29 eV per atom. For the density of states at the Fermi level, the calculation gives 4.41 states/eV/f.u. The total DFT energy (no corrections) comes out at -116.09 eV/f.u.


5.
Entry from Alexandria: Al2PbSe at its PBEsol-relaxed geometry (SCAN).

Cell and atoms, written as CIF:
```
data_Al2PbSe
_chemical_formula_sum 'Al4 Pb2 Se2'
_symmetry_space_group_name_H-M 'C m m m'
_symmetry_Int_Tables_number 65
_symmetry_space_group_name_Hall '-C 2 2'
_cell_length_a 7.002
_cell_length_b 7.010
_cell_length_c 3.487
_cell_angle_alpha 90.00
_cell_angle_beta 90.00
_cell_angle_gamma 90.00
loop_
_atom_site_label
_atom_site_fract_x
_atom_site_fract_y
_atom_site_fract_z
_atom_site_occupancy
Al1 0.250 0.250 0.000 1
Pb1 0.000 0.000 0.500 1
Se1 0.000 0.500 0.500 1
```

Properties
The formation energy without anion corrections comes out at 0.19 eV per atom. For the density of states at the Fermi level, the calculation gives 1.91 states/eV/f.u. The total DFT energy (no corrections) comes out at -110.60 eV/f.u.


6.
Entry from Alexandria: Ba2MgZr at its PBEsol-relaxed geometry (SCAN).

Cell and atoms, written as CIF:
```
data_Ba2MgZr
_chemical_formula_sum 'Ba4 Mg2 Zr2'
_symmetry_space_group_name_H-M 'I 4/m m m'
_symmetry_Int_Tables_number 139
_symmetry_space_group_name_Hall '-I 4 2'
_cell_length_a 5.138
_cell_length_b 5.138
_cell_length_c 10.334
_cell_angle_alpha 90.00
_cell_angle_beta 90.00
_cell_angle_gamma 90.00
loop_
_atom_site_label
_atom_site_fract_x
_atom_site_fract_y
_atom_site_fract_z
_atom_site_occupancy
Ba1 0.000 0.500 0.250 1
Mg1 0.000 0.000 0.000 1
Zr1 0.000 0.000 0.500 1
```

Properties
For the density of states at the Fermi level, the calculation gives 4.28 states/eV/f.u. The total DFT energy (no corrections) comes out at -112.48 eV/f.u.


7.
Entry from Alexandria: Y2CdSe at its PBEsol-relaxed geometry (SCAN).

Cell and atoms, written as CIF:
```
data_Y2CdSe
_chemical_formula_sum 'Y2 Cd1 Se1'
_symmetry_space_group_name_H-M 'P m m m'
_symmetry_Int_Tables_number 47
_symmetry_space_group_name_Hall '-P 2 2'
_cell_length_a 4.141
_cell_length_b 4.151
_cell_length_c 5.920
_cell_angle_alpha 90.00
_cell_angle_beta 90.00
_cell_angle_gamma 90.00
loop_
_atom_site_label
_atom_site_fract_x
_atom_site_fract_y
_atom_site_fract_z
_atom_site_occupancy
Y1 0.000 0.000 0.000 1
Y2 0.500 0.500 0.500 1
Cd1 0.000 0.000 0.500 1
Se1 0.500 0.500 0.000 1
```

Properties
Its offset from the most stable computed form is 0.078 eV/atom. The formation energy without anion corrections comes out at -1.10 eV per atom. For the density of states at the Fermi level, the calculation gives 2.47 states/eV/f.u. The total DFT energy (no corrections) comes out at -110.58 eV/f.u.


8.
Entry from Alexandria: FeSi2Pt at its PBEsol-relaxed geometry (SCAN).

Cell and atoms, written as CIF:
```
data_FeSi2Pt
_chemical_formula_sum 'Fe4 Si8 Pt4'
_symmetry_space_group_name_H-M 'F -4 3 m'
_symmetry_Int_Tables_number 216
_symmetry_space_group_name_Hall 'F -4 2 3'
_cell_length_a 5.954
_cell_length_b 5.954
_cell_length_c 5.954
_cell_angle_alpha 90.00
_cell_angle_beta 90.00
_cell_angle_gamma 90.00
loop_
_atom_site_label
_atom_site_fract_x
_atom_site_fract_y
_atom_site_fract_z
_atom_site_occupancy
Fe1 0.000 0.000 0.000 1
Si1 0.000 0.000 0.500 1
Si2 0.250 0.250 0.250 1
Pt1 0.250 0.250 0.750 1
```

Properties
The formation energy without anion corrections comes out at 0.07 eV per atom. For the density of states at the Fermi level, the calculation gives 1.77 states/eV/f.u. The total DFT energy (no corrections) comes out at -108.09 eV/f.u.


9.
Entry from Alexandria: TiAl2Mo at its PBEsol-relaxed geometry (SCAN).

Cell and atoms, written as CIF:
```
data_TiAl2Mo
_chemical_formula_sum 'Ti4 Al8 Mo4'
_symmetry_space_group_name_H-M 'I -4 2 d'
_symmetry_Int_Tables_number 122
_symmetry_space_group_name_Hall 'I -4 2bw'
_cell_length_a 6.972
_cell_length_b 6.972
_cell_length_c 5.348
_cell_angle_alpha 90.00
_cell_angle_beta 90.00
_cell_angle_gamma 90.00
loop_
_atom_site_label
_atom_site_fract_x
_atom_site_fract_y
_atom_site_fract_z
_atom_site_occupancy
Ti1 0.000 0.000 0.000 1
Al1 0.245 0.750 0.625 1
Mo1 0.000 0.000 0.500 1
```

Properties
For the density of states at the Fermi level, the calculation gives 1.76 states/eV/f.u. The total DFT energy (no corrections) comes out at -65.91 eV/f.u.


10.
Entry from Alexandria: KNaAl6Si6H4O24 at its PBEsol-relaxed geometry (SCAN).

Cell and atoms, written as CIF:
```
data_KNaAl6Si6H4O24
_chemical_formula_sum 'K2 Na2 Al12 Si12 H8 O48'
_symmetry_space_group_name_H-M 'P 1 2 1'
_symmetry_Int_Tables_number 3
_symmetry_space_group_name_Hall 'P 2y'
_cell_length_a 5.163
_cell_length_b 8.949
_cell_length_c 19.862
_cell_angle_alpha 90.00
_cell_angle_beta 93.84
_cell_angle_gamma 90.00
loop_
_atom_site_label
_atom_site_fract_x
_atom_site_fract_y
_atom_site_fract_z
_atom_site_occupancy
K1 0.000 0.000 0.000 1
K2 0.500 0.489 0.000 1
Na1 0.000 0.166 0.500 1
Na2 0.500 0.732 0.500 1
Al1 0.031 0.336 0.119 1
Al2 0.068 0.859 0.607 1
Al3 0.227 0.182 0.256 1
Al4 0.231 0.512 0.256 1
Al5 0.267 0.014 0.743 1
Al6 0.272 0.683 0.742 1
Si1 0.035 0.666 0.119 1
Si2 0.079 0.528 0.606 1
Si3 0.410 0.355 0.393 1
Si4 0.450 0.029 0.394 1
Si5 0.453 0.840 0.880 1
Si6 0.488 0.167 0.881 1
H1 0.124 0.939 0.200 1
H2 0.162 0.255 0.685 1
H3 0.354 0.741 0.329 1
H4 0.395 0.454 0.816 1
O1 0.023 0.655 0.201 1
O2 0.031 0.033 0.206 1
O3 0.064 0.541 0.688 1
O4 0.070 0.162 0.694 1
O5 0.092 0.511 0.083 1
O6 0.106 0.347 0.206 1
O7 0.145 0.848 0.693 1
O8 0.148 0.685 0.572 1
O9 0.207 0.470 0.426 1
O10 0.227 0.203 0.084 1
O11 0.248 0.729 0.913 1
O12 0.249 0.791 0.097 1
O13 0.260 0.894 0.415 1
O14 0.262 0.996 0.571 1
O15 0.288 0.400 0.585 1
O16 0.294 0.297 0.902 1
O17 0.354 0.191 0.425 1
O18 0.365 0.349 0.311 1
O19 0.405 0.004 0.913 1
O20 0.408 0.847 0.798 1
O21 0.431 0.655 0.307 1
O22 0.441 0.047 0.312 1
O23 0.472 0.541 0.794 1
O24 0.481 0.148 0.799 1
```

Properties
For the density of states at the Fermi level, the calculation gives 0.00 states/eV/f.u. The total DFT energy (no corrections) comes out at -402.55 eV/f.u.